Entry from Alexandria via LeMat-Bulk: crystalline NiTe3O at its relaxed geometry (GGA+U).

a = 4.750 Å, b = 4.750 Å, c = 4.750 Å
α = 90.00°, β = 90.00°, γ = 90.00°
Sites, in units of the cell vectors:
O 0.000 0.000 0.000
Te 0.500 0.000 0.000
Te 0.000 0.500 0.000
Te 0.000 0.000 0.500
Ni 0.500 0.500 0.500

Calculated values
Distance to the lowest polymorph of the same formula (meV/atom): 0
Magnetization (μB per formula unit): 0.00
N(E_F) (states/eV/f.u.): 6.11